# PBE TlTeP2, relaxed
data_TlTeP2
_chemical_formula_sum 'Tl2 Te2 P4'
_symmetry_space_group_name_H-M 'C 1 2/m 1'
_symmetry_Int_Tables_number 12
_symmetry_space_group_name_Hall '-C 2y'
_cell_length_a 7.0288
_cell_length_b 4.0388
_cell_length_c 6.9740
_cell_angle_alpha 90.00
_cell_angle_beta 109.01
_cell_angle_gamma 90.00
loop_
_atom_site_label
_atom_site_type_symbol
_atom_site_fract_x
_atom_site_fract_y
_atom_site_fract_z
Tl1 Tl 0.0000 0.0000 0.0000
Te1 Te 0.0000 0.5000 0.5000
P1 P 0.2440 0.0000 0.7365
# * E: -30.09 eV per cell
# * ΔE_f (raw): 0.32 eV per atom

=====

# PBE BaHo4ErS8, relaxed
data_BaHo4ErS8
_chemical_formula_sum 'Ba3 Ho12 Er3 S24'
_symmetry_space_group_name_H-M 'R 3 m'
_symmetry_Int_Tables_number 160
_symmetry_space_group_name_Hall 'R 3 -2"'
_cell_length_a 8.2035
_cell_length_b 8.2035
_cell_length_c 20.0637
_cell_angle_alpha 90.00
_cell_angle_beta 90.00
_cell_angle_gamma 120.00
loop_
_atom_site_label
_atom_site_type_symbol
_atom_site_fract_x
_atom_site_fract_y
_atom_site_fract_z
Ba1 Ba 0.0000 0.0000 0.0000
Ho1 Ho 0.0000 0.0000 0.2498
Ho2 Ho 0.1691 0.3382 0.4576
Er1 Er 0.0000 0.0000 0.6267
S1 S 0.0000 0.0000 0.3819
S2 S 0.0000 0.0000 0.8566
S3 S 0.0494 0.5247 0.3806
S4 S 0.1766 0.3531 0.2062
# * E: -255.81 eV per cell
# * ΔE_f (raw): -1.96 eV per atom

=====

# PBE AcGa4Rh2, relaxed
data_AcGa4Rh2
_chemical_formula_sum 'Ac2 Ga8 Rh4'
_symmetry_space_group_name_H-M 'P 42/m n m'
_symmetry_Int_Tables_number 136
_symmetry_space_group_name_Hall '-P 4n 2n'
_cell_length_a 7.7038
_cell_length_b 7.7038
_cell_length_c 4.4172
_cell_angle_alpha 90.00
_cell_angle_beta 90.00
_cell_angle_gamma 90.00
loop_
_atom_site_label
_atom_site_type_symbol
_atom_site_fract_x
_atom_site_fract_y
_atom_site_fract_z
Ac1 Ac 0.0000 0.0000 0.0000
Ga1 Ga 0.0856 0.3369 0.5000
Rh1 Rh 0.2270 0.7730 0.5000
# * E: -70.60 eV per cell
# * formation energy: -626 meV per atom

=====

# PBE TlAsSe, relaxed
data_TlAsSe
_chemical_formula_sum 'Tl2 As2 Se2'
_symmetry_space_group_name_H-M 'I 4 m m'
_symmetry_Int_Tables_number 107
_symmetry_space_group_name_Hall 'I 4 -2'
_cell_length_a 3.7167
_cell_length_b 3.7167
_cell_length_c 11.7190
_cell_angle_alpha 90.00
_cell_angle_beta 90.00
_cell_angle_gamma 90.00
loop_
_atom_site_label
_atom_site_type_symbol
_atom_site_fract_x
_atom_site_fract_y
_atom_site_fract_z
Tl1 Tl 0.0000 0.0000 0.0000
As1 As 0.0000 0.0000 0.2900
Se1 Se 0.0000 0.0000 0.7261
# * E: -21.01 eV per cell
# * ΔE_f (raw): 0.00 eV per atom

=====

# PBE VBrCl3, relaxed
data_VBrCl3
_chemical_formula_sum 'V1 Br1 Cl3'
_symmetry_space_group_name_H-M 'P m -3 m'
_symmetry_Int_Tables_number 221
_symmetry_space_group_name_Hall '-P 4 2 3'
_cell_length_a 4.8143
_cell_length_b 4.8143
_cell_length_c 4.8143
_cell_angle_alpha 90.00
_cell_angle_beta 90.00
_cell_angle_gamma 90.00
loop_
_atom_site_label
_atom_site_type_symbol
_atom_site_fract_x
_atom_site_fract_y
_atom_site_fract_z
V1 V 0.0000 0.0000 0.0000
Br1 Br 0.5000 0.5000 0.5000
Cl1 Cl 0.0000 0.0000 0.5000
# * E: -19.05 eV per cell
# * ΔE_f (raw): -0.54 eV per atom

=====

# PBE K4AuI2Br, relaxed
data_K4AuI2Br
_chemical_formula_sum 'K4 Au1 I2 Br1'
_symmetry_space_group_name_H-M 'P 1 2/m 1'
_symmetry_Int_Tables_number 10
_symmetry_space_group_name_Hall '-P 2y'
_cell_length_a 8.5183
_cell_length_b 4.9096
_cell_length_c 8.5497
_cell_angle_alpha 90.00
_cell_angle_beta 109.38
_cell_angle_gamma 90.00
loop_
_atom_site_label
_atom_site_type_symbol
_atom_site_fract_x
_atom_site_fract_y
_atom_site_fract_z
K1 K 0.2359 0.0000 0.2419
K2 K 0.2383 0.5000 0.7494
Au1 Au 0.0000 0.0000 0.5000
I1 I 0.5000 0.0000 0.0000
I2 I 0.5000 0.5000 0.5000
Br1 Br 0.0000 0.5000 0.0000
# * E: -22.33 eV per cell
# * ΔE_f (raw): -1.24 eV per atom

=====

# PBE LaHoIn2, relaxed
data_LaHoIn2
_chemical_formula_sum 'La1 Ho1 In2'
_symmetry_space_group_name_H-M 'P 4/m m m'
_symmetry_Int_Tables_number 123
_symmetry_space_group_name_Hall '-P 4 2'
_cell_length_a 3.8258
_cell_length_b 3.8258
_cell_length_c 7.7879
_cell_angle_alpha 90.00
_cell_angle_beta 90.00
_cell_angle_gamma 90.00
loop_
_atom_site_label
_atom_site_type_symbol
_atom_site_fract_x
_atom_site_fract_y
_atom_site_fract_z
La1 La 0.0000 0.0000 0.0000
Ho1 Ho 0.0000 0.0000 0.5000
In1 In 0.5000 0.5000 0.2709
# * E: -16.96 eV per cell
# * formation energy: -495 meV per atom

=====

# PBE BS3Br, relaxed
data_BS3Br
_chemical_formula_sum 'B2 S6 Br2'
_symmetry_space_group_name_H-M 'P 1'
_symmetry_Int_Tables_number 1
_symmetry_space_group_name_Hall 'P 1'
_cell_length_a 4.3407
_cell_length_b 7.7647
_cell_length_c 9.3911
_cell_angle_alpha 90.04
_cell_angle_beta 90.13
_cell_angle_gamma 95.62
loop_
_atom_site_label
_atom_site_type_symbol
_atom_site_fract_x
_atom_site_fract_y
_atom_site_fract_z
B1 B 0.0000 0.0000 0.0000
B2 B 0.1112 0.6120 0.5003
S1 S 0.2371 0.8201 0.5584
S2 S 0.3373 0.1154 0.9129
S3 S 0.4464 0.5036 0.5761
S4 S 0.6655 0.1083 0.0758
S5 S 0.7729 0.4964 0.4131
S6 S 0.8749 0.7919 0.0580
Br1 Br 0.1492 0.5775 0.9747
Br2 Br 0.9625 0.0345 0.4751
# * E: -41.84 eV per cell
# * ΔE_f (raw): -0.04 eV per atom

=====

# PBE ZnSiSn2Au, relaxed
data_ZnSiSn2Au
_chemical_formula_sum 'Zn1 Si1 Sn2 Au1'
_symmetry_space_group_name_H-M 'P 4/m m m'
_symmetry_Int_Tables_number 123
_symmetry_space_group_name_Hall '-P 4 2'
_cell_length_a 5.5728
_cell_length_b 5.5728
_cell_length_c 4.6419
_cell_angle_alpha 90.00
_cell_angle_beta 90.00
_cell_angle_gamma 90.00
loop_
_atom_site_label
_atom_site_type_symbol
_atom_site_fract_x
_atom_site_fract_y
_atom_site_fract_z
Zn1 Zn 0.0000 0.0000 0.0000
Si1 Si 0.5000 0.5000 0.0000
Sn1 Sn 0.0000 0.5000 0.5000
Au1 Au 0.5000 0.5000 0.5000
# * E: -15.02 eV per cell
# * ΔE_f (raw): 0.59 eV per atom

=====

# PBE SrBeSe4, relaxed
data_SrBeSe4
_chemical_formula_sum 'Sr4 Be4 Se16'
_symmetry_space_group_name_H-M 'F -4 3 m'
_symmetry_Int_Tables_number 216
_symmetry_space_group_name_Hall 'F -4 2 3'
_cell_length_a 8.2887
_cell_length_b 8.2887
_cell_length_c 8.2887
_cell_angle_alpha 90.00
_cell_angle_beta 90.00
_cell_angle_gamma 90.00
loop_
_atom_site_label
_atom_site_type_symbol
_atom_site_fract_x
_atom_site_fract_y
_atom_site_fract_z
Sr1 Sr 0.0000 0.0000 0.0000
Be1 Be 0.2500 0.2500 0.7500
Se1 Se 0.1237 0.1237 0.3763
# * E: -74.50 eV per cell
# * ΔE_f (raw): 0.12 eV per atom

=====

# PBE AcEuSn4, relaxed
data_AcEuSn4
_chemical_formula_sum 'Ac4 Eu4 Sn16'
_symmetry_space_group_name_H-M 'F -4 3 m'
_symmetry_Int_Tables_number 216
_symmetry_space_group_name_Hall 'F -4 2 3'
_cell_length_a 8.9873
_cell_length_b 8.9873
_cell_length_c 8.9873
_cell_angle_alpha 90.00
_cell_angle_beta 90.00
_cell_angle_gamma 90.00
loop_
_atom_site_label
_atom_site_type_symbol
_atom_site_fract_x
_atom_site_fract_y
_atom_site_fract_z
Ac1 Ac 0.0000 0.0000 0.0000
Eu1 Eu 0.2500 0.2500 0.2500
Sn1 Sn 0.1249 0.1249 0.6249
# * E: -132.57 eV per cell
# * formation energy: -458 meV per atom

=====

# PBE Tb10CeTm4, relaxed
data_Tb10CeTm4
_chemical_formula_sum 'Tb20 Ce2 Tm8'
_symmetry_space_group_name_H-M 'I 4/m'
_symmetry_Int_Tables_number 87
_symmetry_space_group_name_Hall '-I 4'
_cell_length_a 9.6372
_cell_length_b 9.6372
_cell_length_c 10.5186
_cell_angle_alpha 90.00
_cell_angle_beta 90.00
_cell_angle_gamma 90.00
loop_
_atom_site_label
_atom_site_type_symbol
_atom_site_fract_x
_atom_site_fract_y
_atom_site_fract_z
Tb1 Tb 0.0000 0.5000 0.2500
Tb2 Tb 0.1146 0.7855 0.1570
Ce1 Ce 0.0000 0.0000 0.5000
Tm1 Tm 0.0669 0.6655 0.5000
# * E: -129.45 eV per cell
# * formation energy: 360 meV per atom

=====

Number 1: theoretical density 6.99 g cm⁻³. Number 2: theoretical density 5.20 g cm⁻³. Number 3: theoretical density 9.02 g cm⁻³. Number 4: theoretical density 7.35 g cm⁻³. Number 5: theoretical density 3.53 g cm⁻³. Number 6: theoretical density 3.38 g cm⁻³. Number 7: theoretical density 7.77 g cm⁻³. Number 8: theoretical density 1.97 g cm⁻³. Number 9: theoretical density 6.08 g cm⁻³. Number 10: theoretical density 4.81 g cm⁻³. Number 11: theoretical density 7.81 g cm⁻³. Number 12: theoretical density 8.18 g cm⁻³.